The following is a DFT calculation (PBE) of an optimized crystal structure of TbSc5Ru6.

Calculated values
- Crystal system: orthorhombic
- ρ: 8.02 g cm⁻³
- DOS(E_F): 13.00 states/eV per cell
- Calculated formation energy: -483.9 meV/atom
- Space group: Immm

a b c (Å): 7.934 7.934 7.934
angles (deg): 146.38 131.57 60.25
Sites, in units of the cell vectors:
Tb (0.000, 0.000, 0.000)
Sc (0.171, 0.671, 0.500)
Sc (0.333, 0.333, 0.000)
Sc (0.500, 0.000, 0.500)
Sc (0.667, 0.667, 0.000)
Sc (0.829, 0.329, 0.500)
Ru (0.084, 0.831, 0.253)
Ru (0.257, 0.500, 0.757)
Ru (0.422, 0.169, 0.253)
Ru (0.578, 0.831, 0.747)
Ru (0.743, 0.500, 0.243)
Ru (0.916, 0.169, 0.747)